Version P
Here is Zr2SeS after structural relaxation from the Alexandria database. Energies are from PBE.

Output
- Size of the total moment: 0.0 μB/f.u.
- Density of states at the Fermi level: 0.031 states/eV per atom

Cell: 4.671 4.671 4.671 Å, 60.00 60.00 60.00°
Atoms (fractional coordinates):
Zr: 0.250 0.250 0.250
Zr: 0.750 0.750 0.750
Se: 0.000 0.000 0.000
S: 0.500 0.500 0.500

Version Q
Here is Zr2SeS after structural relaxation from the Alexandria database. Energies are from PBE.

Output
- Size of the total moment: 0.0 μB/f.u.
- Density of states at the Fermi level: 0.544 states/eV per atom

Cell: 7.359 7.359 7.359 Å, 27.85 27.85 27.85°
Atoms (fractional coordinates):
Zr: 0.000 0.000 0.000
Zr: 0.174 0.174 0.174
Se: 0.421 0.421 0.421
S: 0.585 0.585 0.585

Name the most stable of them. version Q.

Version P
Here is ZrSe2S2 after structural relaxation from the Alexandria database. Energies are from PBE.

Output
- Size of the total moment: 0.0 μB/f.u.
- Density of states at the Fermi level: 0.241 states/eV per atom

Cell: 6.962 6.962 4.680 Å, 90.00 90.00 90.00°
Atoms (fractional coordinates):
Zr: 0.000 0.000 0.000
Zr: 0.500 0.500 0.000
Se: 0.241 0.259 0.500
Se: 0.259 0.759 0.500
Se: 0.741 0.241 0.500
Se: 0.759 0.741 0.500
S: 0.176 0.676 0.000
S: 0.324 0.176 0.000
S: 0.676 0.824 0.000
S: 0.824 0.324 0.000

Version Q
Here is ZrSe2S2 after structural relaxation from the Alexandria database. Energies are from PBE.

Output
- Size of the total moment: 0.0 μB/f.u.
- Density of states at the Fermi level: 0.247 states/eV per atom

Cell: 3.868 3.868 11.150 Å, 92.26 92.26 58.40°
Atoms (fractional coordinates):
Zr: 0.000 0.000 0.000
Se: 0.320 0.320 0.858
Se: 0.680 0.680 0.142
S: 0.376 0.376 0.456
S: 0.624 0.624 0.544

Name the most stable of them. version Q.

Version P
Here is Zr2Se2S after structural relaxation from the Alexandria database. Energies are from PBE.

Output
- Size of the total moment: 0.0 μB/f.u.
- Density of states at the Fermi level: 0.001 states/eV per atom

Cell: 6.867 6.867 6.867 Å, 142.90 142.90 53.47°
Atoms (fractional coordinates):
Zr: 0.123 0.123 0.000
Zr: 0.877 0.877 0.000
Se: 0.250 0.750 0.500
Se: 0.750 0.250 0.500
S: 0.500 0.500 0.000

Version Q
Here is Zr2Se2S after structural relaxation from the Alexandria database. Energies are from PBE.

Output
- Size of the total moment: 0.0 μB/f.u.
- Density of states at the Fermi level: 0.488 states/eV per atom

Cell: 6.551 6.551 6.463 Å, 99.32 99.32 120.71°
Atoms (fractional coordinates):
Zr: 0.157 0.311 0.005
Zr: 0.311 0.157 0.505
Zr: 0.689 0.843 0.495
Zr: 0.843 0.689 0.995
Se: 0.252 0.748 0.250
Se: 0.405 0.595 0.750
Se: 0.595 0.405 0.250
Se: 0.748 0.252 0.750
S: 0.088 0.912 0.750
S: 0.912 0.088 0.250

Version R
Here is Zr2Se2S after structural relaxation from the Alexandria database. Energies are from PBE.

Output
- Size of the total moment: 0.0 μB/f.u.
- Density of states at the Fermi level: 0.293 states/eV per atom

Cell: 6.472 6.472 6.472 Å, 147.03 130.61 60.67°
Atoms (fractional coordinates):
Zr: 0.162 0.162 0.000
Zr: 0.838 0.838 0.000
Se: 0.346 0.846 0.500
Se: 0.654 0.154 0.500
S: 0.000 0.500 0.500

Name the most stable of them. version R.

Version P
Here is ZrSeS3 after structural relaxation from the Alexandria database. Energies are from PBE.

Output
- Size of the total moment: 0.0 μB/f.u.
- Density of states at the Fermi level: 1.144 states/eV per atom

Cell: 4.674 4.674 4.674 Å, 90.00 90.00 90.00°
Atoms (fractional coordinates):
Zr: 0.000 0.000 0.000
Se: 0.500 0.500 0.500
S: 0.000 0.500 0.500
S: 0.500 0.000 0.500
S: 0.500 0.500 0.000

Version Q
Here is ZrSeS3 after structural relaxation from the Alexandria database. Energies are from PBE.

Output
- Size of the total moment: 2.2 μB/f.u.
- Density of states at the Fermi level: 1.422 states/eV per atom

Cell: 4.993 4.993 4.993 Å, 90.00 90.00 90.00°
Atoms (fractional coordinates):
Zr: 0.000 0.000 0.000
Se: 0.500 0.500 0.500
S: 0.000 0.000 0.500
S: 0.000 0.500 0.000
S: 0.500 0.000 0.000

Name the most stable of them. version Q.

Version P
Here is SiS4 after structural relaxation from the Alexandria database. Energies are from PBE.

Output
- Size of the total moment: 0.6 μB/f.u.
- Density of states at the Fermi level: 1.084 states/eV per atom

Cell: 4.496 4.496 4.496 Å, 90.00 90.00 90.00°
Atoms (fractional coordinates):
Si: 0.000 0.000 0.000
S: 0.000 0.000 0.500
S: 0.000 0.500 0.000
S: 0.500 0.000 0.000
S: 0.500 0.500 0.500

Version Q
Here is SiS4 after structural relaxation from the Alexandria database. Energies are from PBE.

Output
- Size of the total moment: 0.0 μB/f.u.
- Density of states at the Fermi level: 0.348 states/eV per atom

Cell: 6.914 4.843 7.505 Å, 90.00 91.55 90.00°
Atoms (fractional coordinates):
Si: 0.089 0.250 0.333
Si: 0.911 0.750 0.667
S: 0.198 0.516 0.131
S: 0.198 0.984 0.131
S: 0.217 0.750 0.632
S: 0.243 0.250 0.584
S: 0.757 0.750 0.416
S: 0.783 0.250 0.368
S: 0.802 0.016 0.869
S: 0.802 0.484 0.869

Name the most stable of them. version Q.

Version P
Here is SmSiS3 after structural relaxation from the Alexandria database. Energies are from PBE.

Output
- Size of the total moment: 0.0 μB/f.u.
- Density of states at the Fermi level: 0.000 states/eV per atom

Cell: 6.602 7.399 10.996 Å, 90.00 124.04 90.00°
Atoms (fractional coordinates):
Sm: 0.213 0.127 0.252
Sm: 0.213 0.373 0.752
Sm: 0.787 0.627 0.248
Sm: 0.787 0.873 0.748
Si: 0.148 0.604 0.068
Si: 0.148 0.896 0.568
Si: 0.852 0.104 0.432
Si: 0.852 0.396 0.932
S: 0.066 0.180 0.928
S: 0.066 0.320 0.428
S: 0.286 0.686 0.942
S: 0.286 0.814 0.442
S: 0.415 0.018 0.771
S: 0.415 0.482 0.271
S: 0.585 0.518 0.729
S: 0.585 0.982 0.229
S: 0.714 0.186 0.558
S: 0.714 0.314 0.058
S: 0.934 0.680 0.572
S: 0.934 0.820 0.072

Version Q
Here is SmSiS3 after structural relaxation from the Alexandria database. Energies are from PBE.

Output
- Size of the total moment: 0.0 μB/f.u.
- Density of states at the Fermi level: 0.043 states/eV per atom

Cell: 7.630 6.321 8.735 Å, 90.00 90.00 90.00°
Atoms (fractional coordinates):
Sm: 0.111 0.031 0.000
Sm: 0.389 0.531 0.500
Sm: 0.611 0.469 0.000
Sm: 0.889 0.969 0.500
Si: 0.068 0.526 0.229
Si: 0.432 0.026 0.729
Si: 0.568 0.974 0.229
Si: 0.932 0.474 0.729
S: 0.028 0.401 0.485
S: 0.169 0.833 0.300
S: 0.190 0.842 0.693
S: 0.310 0.342 0.193
S: 0.331 0.333 0.800
S: 0.472 0.901 0.985
S: 0.528 0.099 0.485
S: 0.669 0.667 0.300
S: 0.690 0.658 0.693
S: 0.810 0.158 0.193
S: 0.831 0.167 0.800
S: 0.972 0.599 0.985

Name the most stable of them. version P.